! LiMnF3, relaxed, DFT GGA+U; values from VASP
&SYSTEM
  ibrav = 0, nat = 20, ntyp = 3
/
ATOMIC_SPECIES
Li 6.94 Li.upf
Mn 54.94 Mn.upf
F 19.00 F.upf
CELL_PARAMETERS angstrom
6.3427 0.0000 0.0000
0.0000 5.1732 0.0000
-5.8610 0.0000 7.8451
ATOMIC_POSITIONS crystal
Li 0.0423 0.1772 0.1951
Li 0.0423 0.3229 0.6951
Li 0.9577 0.6772 0.3049
Li 0.9577 0.8228 0.8049
Mn 0.4880 0.2440 0.6030
Mn 0.4880 0.2560 0.1030
Mn 0.5120 0.7440 0.8970
Mn 0.5120 0.7560 0.3970
F 0.2377 0.5539 0.9354
F 0.2377 0.9461 0.4354
F 0.2485 0.0470 0.8568
F 0.2485 0.4530 0.3568
F 0.3097 0.0234 0.1841
F 0.3097 0.4766 0.6841
F 0.6903 0.5234 0.3159
F 0.6903 0.9766 0.8159
F 0.7515 0.5470 0.6432
F 0.7515 0.9530 0.1432
F 0.7623 0.0539 0.5646
F 0.7623 0.4461 0.0646
! Uncorrected energy = -5.7493 eV/atom
! Total moment = 20.0 μB/cell
! D(E_F) = 0.000 states/eV/atom
! SG = P2_1/c